Entry 1:
{
  "formula": "LiNb2ZnBr",
  "functional": "PBE",
  "state": "optimized geometry",
  "cell": [[4.7399, 0.0000, 0.0000], [0.0000, 4.7399, 0.0000], [0.0000, 0.0000, 4.0475]],
  "species": ["Li", "Nb", "Nb", "Zn", "Br"],
  "fractional_positions": [[0.0000, 0.0000, 0.0000], [0.0000, 0.5000, 0.0000], [0.5000, 0.0000, 0.0000], [0.0000, 0.0000, 0.5000], [0.5000, 0.5000, 0.5000]],
  "spacegroup": "P4/mmm (123)",
  "mass_density_g_cm3": 6.2,
  "raw_formation_energy_ev_per_atom": 1.12
}



Entry 2:
{
  "formula": "K3Mg18Sn11",
  "functional": "PBE",
  "state": "optimized geometry",
  "cell": [[11.9333, 0.0000, 0.0000], [-5.9667, 10.3346, 0.0000], [0.0000, 0.0000, 13.7965]],
  "species": ["K", "K", "K", "K", "K", "K", "Mg", "Mg", "Mg", "Mg", "Mg", "Mg", "Mg", "Mg", "Mg", "Mg", "Mg", "Mg", "Mg", "Mg", "Mg", "Mg", "Mg", "Mg", "Mg", "Mg", "Mg", "Mg", "Mg", "Mg", "Mg", "Mg", "Mg", "Mg", "Mg", "Mg", "Mg", "Mg", "Mg", "Mg", "Mg", "Mg", "Sn", "Sn", "Sn", "Sn", "Sn", "Sn", "Sn", "Sn", "Sn", "Sn", "Sn", "Sn", "Sn", "Sn", "Sn", "Sn", "Sn", "Sn", "Sn", "Sn", "Sn", "Sn"],
  "fractional_positions": [[0.3333, 0.6667, 0.0821], [0.3333, 0.6667, 0.4179], [0.3333, 0.6667, 0.7500], [0.6667, 0.3333, 0.2500], [0.6667, 0.3333, 0.5821], [0.6667, 0.3333, 0.9179], [0.0560, 0.4325, 0.5834], [0.0560, 0.4325, 0.9166], [0.0588, 0.4316, 0.2500], [0.1083, 0.2534, 0.7500], [0.1218, 0.2694, 0.0828], [0.1218, 0.2694, 0.4172], [0.1451, 0.8917, 0.7500], [0.1476, 0.8782, 0.0828], [0.1476, 0.8782, 0.4172], [0.2534, 0.1451, 0.2500], [0.2694, 0.1476, 0.5828], [0.2694, 0.1476, 0.9172], [0.3729, 0.9412, 0.2500], [0.3765, 0.9440, 0.5834], [0.3765, 0.9440, 0.9166], [0.4316, 0.3729, 0.7500], [0.4325, 0.3765, 0.0834], [0.4325, 0.3765, 0.4166], [0.5675, 0.6235, 0.5834], [0.5675, 0.6235, 0.9166], [0.5684, 0.6271, 0.2500], [0.6235, 0.0560, 0.0834], [0.6235, 0.0560, 0.4166], [0.6271, 0.0588, 0.7500], [0.7306, 0.8524, 0.0828], [0.7306, 0.8524, 0.4172], [0.7466, 0.8549, 0.7500], [0.8524, 0.1218, 0.5828], [0.8524, 0.1218, 0.9172], [0.8549, 0.1083, 0.2500], [0.8782, 0.7306, 0.5828], [0.8782, 0.7306, 0.9172], [0.8917, 0.7466, 0.2500], [0.9412, 0.5684, 0.7500], [0.9440, 0.5675, 0.0834], [0.9440, 0.5675, 0.4166], [0.0000, 0.0000, 0.1370], [0.0000, 0.0000, 0.3630], [0.0000, 0.0000, 0.6370], [0.0000, 0.0000, 0.8630], [0.1142, 0.7047, 0.5845], [0.1142, 0.7047, 0.9155], [0.1154, 0.7002, 0.2500], [0.2953, 0.4094, 0.5845], [0.2953, 0.4094, 0.9155], [0.2998, 0.4152, 0.2500], [0.4094, 0.1142, 0.0845], [0.4094, 0.1142, 0.4155], [0.4152, 0.1154, 0.7500], [0.5848, 0.8846, 0.2500], [0.5906, 0.8858, 0.5845], [0.5906, 0.8858, 0.9155], [0.7002, 0.5848, 0.7500], [0.7047, 0.5906, 0.0845], [0.7047, 0.5906, 0.4155], [0.8846, 0.2998, 0.7500], [0.8858, 0.2953, 0.0845], [0.8858, 0.2953, 0.4155]],
  "spacegroup": "P6_3/m (176)",
  "dft_energy_ev_per_atom": -2.60,
  "mass_density_g_cm3": 3.6
}



Entry 3:
{
  "formula": "LaNd2Y",
  "functional": "PBE",
  "state": "optimized geometry",
  "cell": [[3.6714, 0.0000, 0.0000], [0.0000, 3.6714, 0.0000], [0.0000, 0.0000, 10.3980]],
  "species": ["La", "Nd", "Nd", "Y"],
  "fractional_positions": [[0.0000, 0.0000, 0.0000], [0.5000, 0.5000, 0.2546], [0.5000, 0.5000, 0.7454], [0.0000, 0.0000, 0.5000]],
  "spacegroup": "P4/mmm (123)",
  "relative_energy_mev_per_atom": 6,
  "mass_density_g_cm3": 6.1
}



Entry 4:
{
  "formula": "MgMn2NiC",
  "functional": "PBE",
  "state": "optimized geometry",
  "cell": [[3.8710, 0.0000, 0.0000], [0.0000, 3.8710, 0.0000], [0.0000, 0.0000, 3.9022]],
  "species": ["Mg", "Mn", "Mn", "Ni", "C"],
  "fractional_positions": [[0.0000, 0.0000, 0.0000], [0.0000, 0.5000, 0.5000], [0.5000, 0.0000, 0.5000], [0.5000, 0.5000, 0.0000], [0.5000, 0.5000, 0.5000]],
  "spacegroup": "P4/mmm (123)",
  "dft_energy_ev_per_atom": -7.01,
  "mass_density_g_cm3": 5.8
}



Spin magnetization for every record listed, in sequence, given in μB/f.u.: 0.90 0.00 0.00 4.29.